Entry 1:
Computed, not measured: a relaxed BaNbReH2 crystal at the GGA-PBE level of DFT.

The final energy comes out at -4.4040 eV per atom. The volume is 87.9 Å³ per cell.

Lattice parameters (Å, degrees): 3.9260 5.7055 3.9260 90.00 90.00 90.00
With the nearest neighbours (Å) after each atom.
Fractional positions:
Re1 0.5000 0.5000 0.5000  4 Ba 2.78
H1 0.5000 0.0000 0.0000  2 Nb 1.96
Ba1 0.0000 0.5000 0.0000  4 Re 2.78, 2 Nb 2.85
Nb1 0.0000 0.0000 0.0000  4 H 1.96
H2 0.0000 0.0000 0.5000  2 Nb 1.96

Entry 2:
Computed, not measured: a relaxed BaNbH2Rh crystal at the GGA-PBE level of DFT.

The final energy comes out at -5.0319 eV per atom. The volume is 90.2 Å³ per cell.

Lattice parameters (Å, degrees): 4.2672 4.9531 4.2672 90.00 90.00 90.00
With the nearest neighbours (Å) after each atom.
Fractional positions:
H1 0.5000 0.0000 0.0000  2 Nb 2.13
Nb1 0.0000 0.0000 0.0000  4 H 2.13
H2 0.0000 0.0000 0.5000  2 Nb 2.13
Ba1 0.5000 0.5000 0.5000  4 Rh 3.02, 8 H 3.27
Rh1 0.0000 0.5000 0.0000  2 Nb 2.48

Entry 3:
Computed, not measured: a relaxed BaNbHS2 crystal at the GGA-PBE level of DFT.

The final energy comes out at -5.8032 eV per atom. The volume is 99.5 Å³ per cell.

Lattice parameters (Å, degrees): 4.9466 4.9466 4.0650 90.00 90.00 90.00
With the nearest neighbours (Å) after each atom.
Fractional positions:
Ba1 0.5000 0.5000 0.5000  8 S 3.20, 4 H 3.50
S1 0.5000 0.0000 0.0000  2 Nb 2.47
S2 0.0000 0.5000 0.0000  2 Nb 2.47
H1 0.0000 0.0000 0.5000  2 Nb 2.03
Nb1 0.0000 0.0000 0.0000  2 H 2.03